This record from the Alexandria database describes a relaxed HgMoF3 crystal. The functional is GGA+U.

a b c (Å): 4.5712 4.5712 4.5712
angles (deg): 90.00 90.00 90.00
Fractional positions:
Hg 0.0000 0.0000 0.0000
Mo 0.5000 0.5000 0.5000
F 0.0000 0.0000 0.5000
F 0.0000 0.5000 0.0000
F 0.5000 0.0000 0.0000

Properties
Total magnetization, μB per atom: 0.9952
D(E_F), states/eV per atom: 0.66
Energy relative to the lowest polymorph listed for this composition, eV/atom: 1.110